First-principles (PBE) data for Pa2Co4P3Ru after structural relaxation, as listed in the Alexandria database.

## Properties
DOS(E_F)   0.556 states/eV/atom
ΔE_f   -821 meV per atom
Spin magnetization   0.5 μB/f.u.
Total energy   -8.113 eV per atom

The structure in CIF format:
```
data_Pa2Co4P3Ru
_chemical_formula_sum 'Pa2 Co4 P3 Ru1'
_space_group_name_H-M_alt 'P -4 m 2'
_space_group_IT_number 115
_space_group_name_Hall 'P -4 -2'
_cell_length_a 3.7010
_cell_length_b 3.7010
_cell_length_c 10.3745
_cell_angle_alpha 90.00
_cell_angle_beta 90.00
_cell_angle_gamma 90.00
loop_
_atom_site_label
_atom_site_type_symbol
_atom_site_fract_x
_atom_site_fract_y
_atom_site_fract_z
_atom_site_occupancy
Pa1 Pa 0.0000 0.5000 0.2453 1
Co1 Co 0.0000 0.0000 0.5000 1
Co2 Co 0.0000 0.5000 0.8300 1
Co3 Co 0.5000 0.5000 0.5000 1
P1 P 0.0000 0.0000 0.0000 1
P2 P 0.0000 0.5000 0.6192 1
Ru1 Ru 0.5000 0.5000 0.0000 1
```